--- 1 ---
HPtSe2N PBE relaxed; symmetry = P4/mmm, No. 123; DOS at the Fermi energy = 3.01 states/eV per cell
1.0
4.905 0.000 0.000
0.000 4.905 0.000
0.000 0.000 2.726
N H Pt Se
1 1 1 2
direct
0.000 0.000 0.500 N
0.000 0.000 0.000 H
0.500 0.500 0.500 Pt
0.500 0.000 0.000 Se
0.000 0.500 0.000 Se

---

--- 2 ---
HPtSe2N PBE relaxed; symmetry = P4/mmm, No. 123; DOS at the Fermi energy = 4.98 states/eV per cell
1.0
5.295 0.000 0.000
0.000 5.295 0.000
0.000 0.000 3.639
Se H Pt N
2 1 1 1
direct
0.000 0.500 0.000 Se
0.500 0.000 0.000 Se
0.500 0.500 0.500 H
0.000 0.000 0.000 Pt
0.000 0.000 0.500 N

---

Which of them is the most stable, and which is the least stable? 1 and 2, in that order.

---

--- 1 ---
RbHN2 PBE relaxed; symmetry = R-3m, No. 166; DOS at the Fermi energy = 1.27 states/eV per cell
1.0
-4.393 -3.007 1.415
-2.664 -4.762 -0.756
-1.725 -4.654 2.388
N H Rb
2 1 1
direct
0.819 0.819 0.819 N
0.181 0.181 0.181 N
0.500 0.500 0.500 H
0.000 0.000 0.000 Rb

---

--- 2 ---
RbHN2 PBE relaxed; symmetry = Fm-3m, No. 225; DOS at the Fermi energy = 1.33 states/eV per cell
1.0
0.000 3.548 3.548
3.548 0.000 3.548
3.548 3.548 0.000
Rb N H
1 2 1
direct
0.500 0.500 0.500 Rb
0.750 0.750 0.750 N
0.250 0.250 0.250 N
0.000 0.000 0.000 H

---

Which of them is the most stable, and which is the least stable? 1 and 2, in that order.